Entry 1:
Below is crystalline ErZnCo at its relaxed geometry, with properties calculated at the PBE level.

The structure belongs to space group F-43m (No. 216); the cell edges are 6.143, 6.143 and 6.143 Å and the angles 90.00°, 90.00° and 90.00°. The asymmetric unit holds Er at (0.000, 0.000, 0.000), Zn at (0.250, 0.250, 0.750) and Co at (0.000, 0.000, 0.500).

For the total DFT energy (no corrections), the calculation gives -49.32 eV for the cell shown. Its formation energy from the elements is 0.201 eV per atom.


Entry 2:
Below is crystalline DyEr2Fe3Ni6 at its relaxed geometry, with properties calculated at the PBE level.

The structure belongs to space group R-3m (No. 166, hexagonal axes); the cell edges are 5.0190, 5.0190 and 23.9152 Å and the angles 90.00°, 90.00° and 120.00°. The asymmetric unit holds Dy at (0.0000, 0.0000, 0.0000), Er at (0.0000, 0.0000, 0.1392), Fe at (0.0000, 0.0000, 0.3334), Fe at (0.0000, 0.0000, 0.5000) and Ni at (0.0012, 0.5006, 0.9170).

For the total DFT energy (no corrections), the calculation gives -227.28 eV for the cell shown. Its formation energy from the elements is -0.308 eV per atom.


Entry 3:
Below is crystalline Y2TcHgC at its relaxed geometry, with properties calculated at the PBE level.

The structure belongs to space group P4/mmm (No. 123); the cell edges are 5.007, 5.007 and 3.996 Å and the angles 90.00°, 90.00° and 90.00°. The asymmetric unit holds Y at (0.000, 0.500, 0.000), Tc at (0.000, 0.000, 0.500), Hg at (0.500, 0.500, 0.500) and C at (0.000, 0.000, 0.000).

For the total DFT energy (no corrections), the calculation gives -34.70 eV for the cell shown.


Entry 4:
Below is crystalline CdSnSeO at its relaxed geometry, with properties calculated at the PBE level.

The structure belongs to space group P4/nmm (No. 129, origin choice 2); the cell edges are 4.020, 4.020 and 11.463 Å and the angles 90.00°, 90.00° and 90.00°. The asymmetric unit holds Cd at (0.250, 0.750, 0.000), Sn at (0.250, 0.250, 0.395), Se at (0.250, 0.250, 0.841) and O at (0.250, 0.250, 0.572).

For the total DFT energy (no corrections), the calculation gives -31.03 eV for the cell shown. For the excess energy over the best structure of this formula in the dataset, the calculation gives 262 meV per atom.


Entry 5:
Below is crystalline NdPbAuSe3 at its relaxed geometry, with properties calculated at the PBE level.

The structure belongs to space group P2_1/m (No. 11); the cell edges are 7.980, 4.196 and 10.228 Å and the angles 90.00°, 105.65° and 90.00°. The asymmetric unit holds Nd at (0.196, 0.250, 0.166), Pb at (0.237, 0.750, 0.702), Au at (0.383, 0.750, 0.410), Se at (0.078, 0.250, 0.864), Se at (0.199, 0.250, 0.462) and Se at (0.461, 0.750, 0.177).

For the total DFT energy (no corrections), the calculation gives -55.55 eV for the cell shown. For the excess energy over the best structure of this formula in the dataset, the calculation gives 10 meV per atom.


Entry 6:
Below is crystalline LuCuSnSeS2 at its relaxed geometry, with properties calculated at the PBE level.

The structure belongs to space group Cmcm (No. 63); the cell edges are 3.857, 13.162 and 10.242 Å and the angles 90.00°, 90.00° and 90.00°. The asymmetric unit holds Lu at (0.000, 0.000, 0.000), Cu at (0.000, 0.467, 0.250), Sn at (0.000, 0.229, 0.750), Se at (0.000, 0.088, 0.250) and S at (0.000, 0.366, 0.065).

For the total DFT energy (no corrections), the calculation gives -119.72 eV for the cell shown.


Entry 7:
Below is crystalline KNbTe at its relaxed geometry, with properties calculated at the PBE level.

The structure belongs to space group F-43m (No. 216); the cell edges are 7.436, 7.436 and 7.436 Å and the angles 90.00°, 90.00° and 90.00°. The asymmetric unit holds K at (0.000, 0.000, 0.000), Nb at (0.250, 0.250, 0.750) and Te at (0.250, 0.250, 0.250).

For the total DFT energy (no corrections), the calculation gives -43.66 eV for the cell shown. For the excess energy over the best structure of this formula in the dataset, the calculation gives 538 meV per atom.


Entry 8:
Below is crystalline TbNdZn2Pb2 at its relaxed geometry, with properties calculated at the PBE level.

The structure belongs to space group P6_3/mmc (No. 194); the cell edges are 4.6234, 4.6234 and 16.3516 Å and the angles 90.00°, 90.00° and 120.00°. The asymmetric unit holds Tb at (0.0000, 0.0000, 0.2500), Nd at (0.0000, 0.0000, 0.0000), Zn at (0.3333, 0.6667, 0.1664) and Pb at (0.3333, 0.6667, 0.6142).

For the total DFT energy (no corrections), the calculation gives -44.12 eV for the cell shown. For the excess energy over the best structure of this formula in the dataset, the calculation gives 0 meV per atom.


Entry 9:
Below is crystalline ErNiW at its relaxed geometry, with properties calculated at the PBE level.

The structure belongs to space group F-43m (No. 216); the cell edges are 6.333, 6.333 and 6.333 Å and the angles 90.00°, 90.00° and 90.00°. The asymmetric unit holds Er at (0.000, 0.000, 0.000), Ni at (0.250, 0.250, 0.750) and W at (0.250, 0.250, 0.250).

For the total DFT energy (no corrections), the calculation gives -73.76 eV for the cell shown. Its formation energy from the elements is 1.550 eV per atom. For the excess energy over the best structure of this formula in the dataset, the calculation gives 952 meV per atom.


Entry 10:
Below is crystalline SrHfB4 at its relaxed geometry, with properties calculated at the PBE level.

The structure belongs to space group P6/mmm (No. 191); the cell edges are 3.2147, 3.2147 and 7.8896 Å and the angles 90.00°, 90.00° and 120.00°. The asymmetric unit holds Sr at (0.0000, 0.0000, 0.0000), Hf at (0.0000, 0.0000, 0.5000) and B at (0.3333, 0.6667, 0.2865).

For the total DFT energy (no corrections), the calculation gives -41.01 eV for the cell shown. For the excess energy over the best structure of this formula in the dataset, the calculation gives 0 meV per atom.


Entry 11:
Below is crystalline AcNpOs at its relaxed geometry, with properties calculated at the PBE level.

The structure belongs to space group F-43m (No. 216); the cell edges are 6.933, 6.933 and 6.933 Å and the angles 90.00°, 90.00° and 90.00°. The asymmetric unit holds Ac at (0.000, 0.000, 0.000), Np at (0.000, 0.000, 0.500) and Os at (0.250, 0.250, 0.250).

For the total DFT energy (no corrections), the calculation gives -107.33 eV for the cell shown. Its formation energy from the elements is 0.423 eV per atom. For the excess energy over the best structure of this formula in the dataset, the calculation gives 0 meV per atom.


Entry 12:
Below is crystalline HfP at its relaxed geometry, with properties calculated at the PBE level.

The structure belongs to space group P6_3mc (No. 186); the cell edges are 4.1042, 4.1042 and 6.6990 Å and the angles 90.00°, 90.00° and 120.00°. The asymmetric unit holds Hf at (0.3333, 0.6667, 0.0000) and P at (0.3333, 0.6667, 0.3754).

For the total DFT energy (no corrections), the calculation gives -32.75 eV for the cell shown.


no.,density (g cm⁻³),calculated volume (Å³/atom)
1,8.356,19.315
2,9.708,14.492
3,8.097,20.032
4,5.847,23.151
5,7.908,27.482
6,6.392,21.663
7,4.195,34.257
8,9.308,25.225
9,10.715,21.170
10,7.275,11.769
11,13.042,27.766
12,7.118,24.431